Record 1
A relaxed Pu2BeAu crystal. Source: Alexandria, functional PBE.

```
data_Pu2BeAu
_chemical_formula_sum 'Pu2 Be1 Au1'
_cell_length_a 3.779
_cell_length_b 3.779
_cell_length_c 5.921
_cell_angle_alpha 90.00
_cell_angle_beta 90.00
_cell_angle_gamma 90.00
_space_group_name_H-M_alt 'P 4/m m m'
_space_group_IT_number 123
_space_group_name_Hall '-P 4 2'
loop_
_atom_site_label
_atom_site_fract_x
_atom_site_fract_y
_atom_site_fract_z
Pu1 0.000 0.000 0.240
Be1 0.500 0.500 0.000
Au1 0.500 0.500 0.500
```

Calculated values
- magnetization (μB/f.u.) = 11.20
- energy relative to the elements (meV/atom) = 4.1



Record 2
A relaxed Ta3FeTc crystal. Source: Alexandria, functional PBE.

```
data_Ta3FeTc
_chemical_formula_sum 'Ta3 Fe1 Tc1'
_cell_length_a 4.739
_cell_length_b 4.739
_cell_length_c 4.739
_cell_angle_alpha 90.00
_cell_angle_beta 90.00
_cell_angle_gamma 90.00
_space_group_name_H-M_alt 'P m -3 m'
_space_group_IT_number 221
_space_group_name_Hall '-P 4 2 3'
loop_
_atom_site_label
_atom_site_fract_x
_atom_site_fract_y
_atom_site_fract_z
Ta1 0.000 0.000 0.500
Fe1 0.500 0.500 0.500
Tc1 0.000 0.000 0.000
```

Calculated values
- E above lowest polymorph (meV per atom) = 769
- magnetization (μB/f.u.) = 0.00
- energy relative to the elements (meV/atom) = 1661.6



Record 3
A relaxed AlNi2W crystal. Source: Alexandria, functional PBE.

```
data_AlNi2W
_chemical_formula_sum 'Al2 Ni4 W2'
_cell_length_a 2.696
_cell_length_b 4.402
_cell_length_c 8.796
_cell_angle_alpha 90.00
_cell_angle_beta 90.00
_cell_angle_gamma 90.00
_space_group_name_H-M_alt 'I m m 2'
_space_group_IT_number 44
loop_
_space_group_symop_operation_xyz
'x,y,z'
'-x,-y,z'
'-x,y,z'
'x,-y,z'
'x+1/2,y+1/2,z+1/2'
'-x+1/2,-y+1/2,z+1/2'
'-x+1/2,y+1/2,z+1/2'
'x+1/2,-y+1/2,z+1/2'
loop_
_atom_site_label
_atom_site_fract_x
_atom_site_fract_y
_atom_site_fract_z
Al1 0.000 0.000 0.000
Ni1 0.000 0.000 0.477
Ni2 0.000 0.500 0.734
W1 0.000 0.500 0.232
```

Calculated values
- magnetization (μB/f.u.) = 0.00
- energy relative to the elements (meV/atom) = -115.1



Record 4
A relaxed CaLaBeS2 crystal. Source: Alexandria, functional PBE.

```
data_CaLaBeS2
_chemical_formula_sum 'Ca1 La1 Be1 S2'
_cell_length_a 5.466
_cell_length_b 5.466
_cell_length_c 5.147
_cell_angle_alpha 90.00
_cell_angle_beta 90.00
_cell_angle_gamma 90.00
_space_group_name_H-M_alt 'P 4/m m m'
_space_group_IT_number 123
_space_group_name_Hall '-P 4 2'
loop_
_atom_site_label
_atom_site_fract_x
_atom_site_fract_y
_atom_site_fract_z
Ca1 0.000 0.000 0.000
La1 0.500 0.500 0.500
Be1 0.500 0.500 0.000
S1 0.000 0.500 0.500
```

Calculated values
- raw formation energy (meV per atom) = -358
- magnetization (μB/f.u.) = 0.00



Record 5
A relaxed ZrW3 crystal. Source: Alexandria, functional PBE.

```
data_ZrW3
_chemical_formula_sum 'Zr1 W3'
_cell_length_a 2.653
_cell_length_b 4.764
_cell_length_c 5.592
_cell_angle_alpha 90.00
_cell_angle_beta 90.00
_cell_angle_gamma 90.00
_space_group_name_H-M_alt 'P m m 2'
_space_group_IT_number 25
loop_
_space_group_symop_operation_xyz
'x,y,z'
'-x,-y,z'
'-x,y,z'
'x,-y,z'
loop_
_atom_site_label
_atom_site_fract_x
_atom_site_fract_y
_atom_site_fract_z
Zr1 0.000 0.000 0.000
W1 0.000 0.500 0.713
W2 0.500 0.000 0.500
W3 0.500 0.500 0.231
```

Calculated values
- magnetization (μB/f.u.) = 0.00
- energy relative to the elements (meV/atom) = 449.5



Record 6
A relaxed Rb2ErMn2Se4 crystal. Source: Alexandria, functional PBE.

```
data_Rb2ErMn2Se4
_chemical_formula_sum 'Rb4 Er2 Mn4 Se8'
_cell_length_a 15.489
_cell_length_b 4.206
_cell_length_c 8.181
_cell_angle_alpha 90.00
_cell_angle_beta 109.02
_cell_angle_gamma 90.00
_space_group_name_H-M_alt 'C 1 2/m 1'
_space_group_IT_number 12
loop_
_space_group_symop_operation_xyz
'x,y,z'
'-x,-y,-z'
'-x,y,-z'
'x,-y,z'
'x+1/2,y+1/2,z'
'-x+1/2,-y+1/2,-z'
'-x+1/2,y+1/2,-z'
'x+1/2,-y+1/2,z'
loop_
_atom_site_label
_atom_site_fract_x
_atom_site_fract_y
_atom_site_fract_z
Rb1 0.132 0.000 0.054
Er1 0.000 0.000 0.500
Mn1 0.179 0.500 0.484
Se1 0.020 0.500 0.273
Se2 0.197 0.000 0.671
```

Calculated values
- raw formation energy (meV per atom) = -1083
- magnetization (μB/f.u.) = 9.00



Record 7
A relaxed Y4GaIr2 crystal. Source: Alexandria, functional PBE.

```
data_Y4GaIr2
_chemical_formula_sum 'Y8 Ga2 Ir4'
_cell_length_a 5.398
_cell_length_b 5.398
_cell_length_c 13.598
_cell_angle_alpha 90.00
_cell_angle_beta 90.00
_cell_angle_gamma 90.00
_space_group_name_H-M_alt 'I 4/m m m'
_space_group_IT_number 139
_space_group_name_Hall '-I 4 2'
loop_
_atom_site_label
_atom_site_fract_x
_atom_site_fract_y
_atom_site_fract_z
Y1 0.000 0.000 0.208
Y2 0.000 0.500 0.000
Ga1 0.000 0.000 0.000
Ir1 0.000 0.000 0.403
```

Calculated values
- E above lowest polymorph (meV per atom) = 636
- magnetization (μB/f.u.) = 0.00
- energy relative to the elements (meV/atom) = -60.0



Record 8
A relaxed Ac2ThScSe6 crystal. Source: Alexandria, functional PBE.

```
data_Ac2ThScSe6
_chemical_formula_sum 'Ac4 Th2 Sc2 Se12'
_cell_length_a 12.776
_cell_length_b 7.456
_cell_length_c 7.655
_cell_angle_alpha 90.00
_cell_angle_beta 123.64
_cell_angle_gamma 90.00
_space_group_name_H-M_alt 'C 1 2/m 1'
_space_group_IT_number 12
loop_
_space_group_symop_operation_xyz
'x,y,z'
'-x,-y,-z'
'-x,y,-z'
'x,-y,z'
'x+1/2,y+1/2,z'
'-x+1/2,-y+1/2,-z'
'-x+1/2,y+1/2,-z'
'x+1/2,-y+1/2,z'
loop_
_atom_site_label
_atom_site_fract_x
_atom_site_fract_y
_atom_site_fract_z
Ac1 0.245 0.000 0.212
Th1 0.000 0.000 0.500
Sc1 0.000 0.500 0.000
Se1 0.070 0.253 0.831
Se2 0.239 0.500 0.364
```

Calculated values
- raw formation energy (meV per atom) = -1746
- magnetization (μB/f.u.) = 0.00



> The highest magnetization belongs to which entry?

Pu2BeAu